(1)
ZnFeAgHg, relaxed, DFT PBE-GGA; symmetry = F-43m; total magnetic moment = 2.9 μB/cell; distance to the lowest polymorph of the same formula = 40 meV per atom; energy of formation = 7.87 kcal/mol of atoms
1.0
3.950 -0.534 2.227
0.444 1.563 4.267
0.276 -2.933 3.488
Fe Zn Ag Hg
1 1 1 1
Direct
0.750 0.750 0.750 Fe
0.000 0.000 0.000 Zn
0.500 0.500 0.500 Ag
0.250 0.250 0.250 Hg

(2)
ZnFeAgHg, relaxed, DFT PBE-GGA; symmetry = F-43m; total magnetic moment = 2.7 μB/cell; distance to the lowest polymorph of the same formula = 0 meV per atom; energy of formation = 6.94 kcal/mol of atoms
1.0
0.000 3.224 3.224
3.224 0.000 3.224
3.224 3.224 0.000
Hg Ag Zn Fe
1 1 1 1
Direct
0.500 0.500 0.500 Hg
0.250 0.250 0.250 Ag
0.000 0.000 0.000 Zn
0.750 0.750 0.750 Fe